Entry 1:
{
  "formula": "TmPaCSe",
  "functional": "GGA-PBE",
  "state": "optimized geometry",
  "sg": "R3m (160)",
  "cell": [[-2.645, -0.515, -2.445], [3.457, 0.305, -1.096], [1.390, -6.506, 2.575]],
  "species": ["Tm", "Pa", "C", "Se"],
  "frac_coords": [[0.105, 0.950, 0.070], [0.506, 0.151, 0.673], [0.302, 0.549, 0.867], [0.964, 0.380, 0.360]]
}

***

Entry 2:
{
  "formula": "YPaCSe",
  "functional": "GGA-PBE",
  "state": "optimized geometry",
  "sg": "R-3m (166)",
  "cell": [[-1.291, 2.532, -2.713], [-2.621, -1.165, -2.685], [-11.406, 4.149, 6.458]],
  "species": ["Y", "Y", "Pa", "Pa", "C", "C", "Se", "Se"],
  "frac_coords": [[0.798, 0.798, 0.605], [0.202, 0.202, 0.395], [0.631, 0.631, 0.106], [0.369, 0.369, 0.894], [0.689, 0.689, 0.934], [0.311, 0.311, 0.066], [0.087, 0.087, 0.739], [0.913, 0.913, 0.261]]
}

***

Entry 3:
{
  "formula": "ZrPaCSe2",
  "functional": "GGA-PBE",
  "state": "optimized geometry",
  "sg": "P4/nmm (129)",
  "cell": [[3.853, 0.000, 0.000], [0.000, 3.853, 0.000], [0.000, 0.000, 13.570]],
  "species": ["Zr", "Zr", "Pa", "Pa", "C", "C", "Se", "Se", "Se", "Se"],
  "frac_coords": [[0.500, 0.000, 0.087], [0.000, 0.500, 0.913], [0.500, 0.000, 0.593], [0.000, 0.500, 0.407], [0.000, 0.000, 0.500], [0.500, 0.500, 0.500], [0.000, 0.500, 0.708], [0.000, 0.500, 0.119], [0.500, 0.000, 0.881], [0.500, 0.000, 0.292]]
}

***

Entry 4:
{
  "formula": "Pa3Si2C",
  "functional": "GGA-PBE",
  "state": "optimized geometry",
  "sg": "Cmcm (63)",
  "cell": [[-4.654, 3.486, -1.441], [0.845, -1.464, -6.269], [-4.088, -4.687, 1.867]],
  "species": ["Pa", "Pa", "Pa", "Pa", "Pa", "Pa", "Si", "Si", "Si", "Si", "C", "C"],
  "frac_coords": [[0.250, 0.358, 0.358], [0.750, 0.642, 0.642], [0.500, 0.176, 0.824], [0.000, 0.176, 0.824], [0.500, 0.824, 0.176], [0.000, 0.824, 0.176], [0.750, 0.434, 0.191], [0.250, 0.566, 0.809], [0.250, 0.809, 0.566], [0.750, 0.191, 0.434], [0.750, 0.915, 0.915], [0.250, 0.085, 0.085]]
}

***

Entry 5:
{
  "formula": "SmPa2SiC4",
  "functional": "GGA-PBE",
  "state": "optimized geometry",
  "sg": "Cmcm (63)",
  "cell": [[3.573, 0.000, 0.000], [-1.787, 5.888, 0.000], [0.000, 0.000, 11.773]],
  "species": ["Sm", "Sm", "Pa", "Pa", "Pa", "Pa", "Si", "Si", "C", "C", "C", "C", "C", "C", "C", "C"],
  "frac_coords": [[0.101, 0.202, 0.750], [0.899, 0.798, 0.250], [0.370, 0.739, 0.551], [0.630, 0.261, 0.051], [0.630, 0.261, 0.449], [0.370, 0.739, 0.949], [0.832, 0.664, 0.750], [0.168, 0.336, 0.250], [0.265, 0.530, 0.124], [0.735, 0.470, 0.624], [0.735, 0.470, 0.876], [0.265, 0.530, 0.376], [0.000, 0.000, 0.500], [0.000, 0.000, 0.000], [0.419, 0.839, 0.750], [0.581, 0.161, 0.250]]
}

***

Entry 6:
{
  "formula": "Tb2PaSiC4",
  "functional": "GGA-PBE",
  "state": "optimized geometry",
  "sg": "Cmcm (63)",
  "cell": [[-0.894, -1.423, 3.000], [-3.603, -2.336, -4.152], [7.889, -8.870, -1.856]],
  "species": ["Tb", "Tb", "Tb", "Tb", "Pa", "Pa", "Si", "Si", "C", "C", "C", "C", "C", "C", "C", "C"],
  "frac_coords": [[0.365, 0.731, 0.550], [0.635, 0.269, 0.050], [0.635, 0.269, 0.450], [0.365, 0.731, 0.950], [0.104, 0.208, 0.750], [0.896, 0.792, 0.250], [0.837, 0.674, 0.750], [0.163, 0.326, 0.250], [0.276, 0.551, 0.138], [0.724, 0.449, 0.638], [0.724, 0.449, 0.862], [0.276, 0.551, 0.362], [0.000, 0.000, 0.500], [0.000, 0.000, 0.000], [0.442, 0.883, 0.750], [0.558, 0.117, 0.250]]
}

***

| no. | raw formation energy (meV/atom) |
| --- | --- |
| 1 | -1010 |
| 2 | -897 |
| 3 | -997 |
| 4 | -287 |
| 5 | -269 |
| 6 | -45 |